[1]
VASP calculation (PBE-GGA) on CoBAs2S after structural relaxation.

Results
Symmetry ... P4/mmm
Crystal system ... tetragonal
Magnetization ... 1.1 μB/cell
VASP energy ... -4.45 eV/atom
DOS(E_F) ... 5.48 states/eV/cell

```
5
Lattice="-3.160 1.719 -2.400 -1.074 -3.728 -1.257 -2.723 -0.342 3.342" Properties=species:S:1:pos:R:3 pbc="T T T"
Co -3.479 -1.176 -0.157
B 0.000 0.000 0.000
S -0.537 -1.864 -0.628
As -1.362 -0.171 1.671
As -1.580 0.859 -1.200
```

***

[2]
VASP calculation (PBE-GGA) on Sc7Al6 after structural relaxation.

Results
Formation energy ... 0.085 eV/atom
Symmetry ... R-3m
Crystal system ... trigonal
Magnetization ... 0.0 μB/cell
VASP energy ... -5.05 eV/atom
DOS(E_F) ... 14.30 states/eV/cell

```
13
Lattice="10.130 -0.029 -0.018 8.473 5.552 -0.018 8.473 2.515 4.949" Properties=species:S:1:pos:R:3 pbc="T T T"
Sc 10.787 4.745 2.900
Sc 13.538 4.019 2.457
Al 4.020 1.194 0.730
Sc 11.629 3.452 0.377
Sc 16.289 3.293 2.013
Sc 15.447 4.586 4.536
Al 18.056 5.360 3.277
Al 23.056 6.844 4.184
Sc 15.447 6.128 2.013
Sc 11.629 1.910 2.900
Al 1.377 0.409 0.250
Al 25.699 7.629 4.664
Al 9.020 2.678 1.637
```

***

[3]
VASP calculation (PBE-GGA) on KNpFe2S4 after structural relaxation.

Results
Symmetry ... I222
Crystal system ... orthorhombic
Magnetization ... 3.1 μB/cell
VASP energy ... -6.53 eV/atom
DOS(E_F) ... 13.66 states/eV/cell

```
8
Lattice="-1.587 -0.216 -6.165 -5.417 -1.667 -1.838 -2.922 4.439 -2.694" Properties=species:S:1:pos:R:3 pbc="T T T"
S -6.654 0.563 -3.372
Fe -2.956 0.849 -2.559
Fe -6.970 1.707 -8.137
Np -4.963 1.278 -5.348
S -6.227 3.300 -6.610
S -4.430 -0.843 -6.927
S -2.541 2.092 -4.485
K 0.000 0.000 0.000
```

***

[4]
VASP calculation (PBE-GGA) on Ac3La2Pm3 after structural relaxation.

Results
Formation energy ... 0.027 eV/atom
Symmetry ... Pmmm
Crystal system ... orthorhombic
Magnetization ... 0.0 μB/cell
VASP energy ... -4.53 eV/atom
DOS(E_F) ... 13.52 states/eV/cell

```
8
Lattice="-2.673 1.010 -4.536 2.959 -3.717 -2.571 -7.182 -7.492 2.564" Properties=species:S:1:pos:R:3 pbc="T T T"
Pm -1.620 -3.192 -2.925
La -1.756 -1.832 0.627
Ac -4.928 -3.241 -0.986
Ac -2.112 -5.604 -0.004
Pm -5.277 -7.006 -1.619
La -5.426 -5.660 1.937
Pm -1.337 0.505 -2.268
Ac 1.479 -1.858 -1.286
```

***

[5]
VASP calculation (PBE-GGA) on Zn2FeH5 after structural relaxation.

Results
Symmetry ... Cm
Crystal system ... monoclinic
Magnetization ... 0.0 μB/cell
VASP energy ... -3.45 eV/atom
DOS(E_F) ... 0.88 states/eV/cell

```
8
Lattice="-2.185 1.309 -2.162 -3.295 -3.140 -1.169 -3.432 2.288 2.252" Properties=species:S:1:pos:R:3 pbc="T T T"
H -3.409 -1.733 -0.375
Fe -0.165 0.003 -0.011
Zn -3.638 -0.856 -2.200
Zn -3.716 2.224 -0.261
H -3.479 0.963 1.322
H -5.689 -0.272 0.203
H -3.585 0.718 -1.281
H -1.554 0.514 -0.878
```

***

[6]
VASP calculation (PBE-GGA) on Sr2FeMo after structural relaxation.

Results
Formation energy ... 0.653 eV/atom
Symmetry ... Imm2
Crystal system ... orthorhombic
Magnetization ... 0.8 μB/cell
VASP energy ... -5.01 eV/atom
DOS(E_F) ... 4.95 states/eV/cell

```
4
Lattice="-1.715 3.503 -5.037 -1.781 0.063 -6.116 -5.403 0.381 -0.885" Properties=species:S:1:pos:R:3 pbc="T T T"
Mo -6.536 3.190 -9.768
Sr -5.375 0.427 -1.032
Fe -4.557 1.794 -5.440
Sr -2.281 0.892 -2.703
```

***

[7]
VASP calculation (PBE-GGA) on Sr2HS after structural relaxation.

Results
Symmetry ... I-42d
Crystal system ... tetragonal
Magnetization ... 2.0 μB/cell
VASP energy ... -3.72 eV/atom
DOS(E_F) ... 1.74 states/eV/cell

```
8
Lattice="7.165 0.000 0.000 0.000 7.165 0.000 3.583 3.583 4.014" Properties=species:S:1:pos:R:3 pbc="T T T"
Sr 2.086 5.374 1.004
H 3.583 7.165 2.007
Sr 8.957 8.662 3.011
S 7.165 3.583 2.007
S 0.000 0.000 0.000
Sr 5.374 5.669 3.011
Sr 5.079 1.791 1.004
H 3.583 3.583 0.000
```

***

[8]
VASP calculation (PBE-GGA) on Ca2ScGaSe5 after structural relaxation.

Results
Symmetry ... Cmc2_1
Crystal system ... orthorhombic
Magnetization ... 0.0 μB/cell
VASP energy ... -4.93 eV/atom

```
18
Lattice="3.945 0.000 0.000 -1.972 8.955 0.000 0.000 0.000 12.488" Properties=species:S:1:pos:R:3 pbc="T T T"
Ga 0.000 7.886 5.438
Se 1.972 3.407 10.871
Ca 0.000 2.110 8.454
Ga 1.972 1.068 11.682
Ca 1.972 6.668 10.239
Se 0.000 5.548 4.627
Se 0.000 5.185 8.401
Se 1.972 3.770 2.157
Sc 1.972 5.200 6.569
Se 1.972 0.040 3.349
Se 0.000 8.915 9.593
Sc 0.000 3.754 0.325
Ca 0.000 2.287 3.995
Se 1.972 2.575 6.282
Se 0.000 0.880 0.640
Se 0.000 6.380 0.038
Se 1.972 8.075 6.884
Ca 1.972 6.845 2.210
```

***

[9]
VASP calculation (PBE-GGA) on HoScPb2 after structural relaxation.

Results
Formation energy ... -0.370 eV/atom
Symmetry ... P2/c
Crystal system ... monoclinic
Magnetization ... 0.0 μB/cell
VASP energy ... -4.95 eV/atom
DOS(E_F) ... 14.29 states/eV/cell

```
16
Lattice="6.002 0.000 -1.565 0.000 6.210 0.000 -0.462 0.000 11.858" Properties=species:S:1:pos:R:3 pbc="T T T"
Ho -0.056 0.792 10.244
Sc 5.422 3.912 5.884
Pb 2.516 5.370 0.508
Sc 2.653 2.297 0.737
Pb 3.147 2.318 3.743
Pb 5.287 0.839 5.655
Ho 3.176 5.417 3.533
Pb 5.625 2.318 -0.161
Pb 0.254 5.370 4.638
Ho 5.596 5.417 0.049
Pb -0.085 3.892 10.454
Pb 2.393 3.892 6.551
Sc 0.118 2.297 4.410
Sc 2.888 3.912 9.557
Ho 2.365 0.792 6.761
Pb 3.024 0.839 9.785
```

***

[10]
VASP calculation (PBE-GGA) on SbPbI3 after structural relaxation.

Results
Symmetry ... Pm-3m
Crystal system ... cubic
Magnetization ... 2.0 μB/cell
VASP energy ... -2.32 eV/atom
DOS(E_F) ... 9.59 states/eV/cell

```
5
Lattice="-1.016 2.970 -5.412 -6.157 -0.079 1.113 0.460 5.507 2.935" Properties=species:S:1:pos:R:3 pbc="T T T"
I 0.230 2.753 1.467
I -3.078 -0.039 0.556
Pb 0.000 0.000 0.000
I -0.508 1.485 -2.706
Sb -3.357 4.199 -0.682
```

***

[11]
VASP calculation (PBE-GGA) on K2IrO4 after structural relaxation.

Results
Symmetry ... Fmm2
Crystal system ... orthorhombic
Magnetization ... 1.1 μB/cell
VASP energy ... -5.46 eV/atom
DOS(E_F) ... 2.83 states/eV/cell

```
7
Lattice="5.536 0.227 0.000 0.140 5.539 0.000 -2.838 -2.883 4.924" Properties=species:S:1:pos:R:3 pbc="T T T"
Ir 5.535 0.227 0.000
K 0.194 2.647 2.462
O 3.008 2.715 3.065
O 4.163 4.816 0.000
O 0.170 -0.167 1.859
K 2.892 -0.009 2.462
O 0.926 1.528 0.000
```

***

[12]
VASP calculation (PBE-GGA) on Sn2GePt2 after structural relaxation.

Results
Formation energy ... -0.175 eV/atom
Symmetry ... P4/mbm
Crystal system ... tetragonal
Magnetization ... 0.0 μB/cell
VASP energy ... -5.12 eV/atom
DOS(E_F) ... 5.10 states/eV/cell

```
10
Lattice="-0.536 -6.701 3.606 6.218 1.699 4.081 -1.994 1.466 2.427" Properties=species:S:1:pos:R:3 pbc="T T T"
Sn 0.647 -4.302 5.605
Pt 5.180 -0.974 4.843
Ge 2.841 -2.501 3.844
Sn 3.040 0.765 4.510
Pt 0.501 -4.028 2.844
Pt 2.194 -0.288 1.976
Sn -0.162 -1.245 3.094
Ge 0.000 0.000 0.000
Pt 3.487 -4.714 5.711
Sn 3.849 -2.291 7.020
```